Here is crystalline LiTaW2 at its relaxed geometry from Alexandria via LeMat-Bulk. Energies are from GGA-PBEsol.

a = 2.5928 Å, b = 4.4719 Å, c = 5.4690 Å
α = 90.00°, β = 90.00°, γ = 90.00°
Fractional coordinates of all 4 atoms:
Li 0.5000 0.5000 0.0000
Ta 0.5000 0.5000 0.5000
W 0.0000 0.0000 0.7532
W 0.0000 0.0000 0.2468

total moment	0.00	μB per formula unit
D(E_F)	0.90	states/eV/atom
energy above the lowest structure with this stoichiometry	0.000	eV/atom
volume	15.9	Å³/atom
crystal system	orthorhombic
theoretical density	14.5	g/cm³
final energy	-10.051	eV per atom